Tb2Y2Ru | GGA-PBE | relaxed

```
Tb2Y2Ru
1.0
3.6766 -5.9687 0.0000
3.6766 5.9687 0.0000
-3.1842 0.0000 6.6318
Tb Y Ru
4 4 2
Direct
0.2288 0.2288 0.4008
0.2563 0.2563 0.9057
0.7437 0.7437 0.0943
0.7712 0.7712 0.5992
0.2264 0.6735 0.2463
0.3265 0.7736 0.7537
0.6735 0.2264 0.2463
0.7736 0.3265 0.7537
0.1258 0.8742 0.0000
0.8742 0.1258 0.0000
```

size of the total moment: 0.00 μB/cell
V: 29.11 Å³/atom
calculated formation energy: -0.16 eV/atom
VASP energy: -6.4526 eV per atom